# GGA-PBE Li2Nb2AlSnOs2, optimized geometry
# Total DFT energy (no corrections) ... -7.1034 eV per atom
data_Li2Nb2AlSnOs2
_cell_length_a 4.424
_cell_length_b 4.424
_cell_length_c 6.283
_cell_angle_alpha 90.00
_cell_angle_beta 90.00
_cell_angle_gamma 90.00
_symmetry_space_group_name_H-M 'P -4 m 2'
_symmetry_Int_Tables_number 115
loop_
_symmetry_equiv_pos_as_xyz
'x,y,z'
'y,-x,-z'
'-x,-y,z'
'-y,x,-z'
'-x,y,z'
'-y,-x,-z'
'x,-y,z'
'y,x,-z'
loop_
_atom_site_label
_atom_site_type_symbol
_atom_site_fract_x
_atom_site_fract_y
_atom_site_fract_z
Li1 Li 0.000 0.500 0.238
Nb1 Nb 0.000 0.000 0.000
Nb2 Nb 0.500 0.500 0.500
Al1 Al 0.500 0.500 0.000
Sn1 Sn 0.000 0.000 0.500
Os1 Os 0.000 0.500 0.759


# GGA-PBE PmP, optimized geometry
# ΔE to the lowest computed polymorph ... 50.3 kJ per mole of atoms
data_PmP
_cell_length_a 6.454
_cell_length_b 6.454
_cell_length_c 6.454
_cell_angle_alpha 90.00
_cell_angle_beta 90.00
_cell_angle_gamma 90.00
_symmetry_space_group_name_H-M 'F -4 3 m'
_symmetry_Int_Tables_number 216
_symmetry_space_group_name_Hall 'F -4 2 3'
loop_
_atom_site_label
_atom_site_type_symbol
_atom_site_fract_x
_atom_site_fract_y
_atom_site_fract_z
Pm1 Pm 0.000 0.000 0.000
P1 P 0.250 0.250 0.250


# GGA-PBE Ta8Al5, optimized geometry
# ΔE to the lowest computed polymorph ... 0.0 kJ per mole of atoms
data_Ta8Al5
_cell_length_a 5.3889
_cell_length_b 5.3889
_cell_length_c 28.1753
_cell_angle_alpha 90.00
_cell_angle_beta 90.00
_cell_angle_gamma 120.00
_symmetry_space_group_name_H-M 'R -3 m'
_symmetry_Int_Tables_number 166
_symmetry_space_group_name_Hall '-R 3 2"'
loop_
_atom_site_label
_atom_site_type_symbol
_atom_site_fract_x
_atom_site_fract_y
_atom_site_fract_z
Ta1 Ta 0.0000 0.0000 0.1508
Ta2 Ta 0.0041 0.5020 0.9125
Al1 Al 0.0000 0.0000 0.0500
Al2 Al 0.0000 0.0000 0.3338
Al3 Al 0.0000 0.0000 0.5000


Computed values of density (unit: g/cm3) for the preceding records, in sequence: 9.800 4.348 11.126.